Entry 1:
CaIn4Pd4: optimized geometry, PBE.

Values from the calculation:
**Density of states at the Fermi level**: 7.09 states/eV/cell

```
CaIn4Pd4
1.0
5.3737 0.0000 0.0000
0.0000 8.9346 0.0000
0.0000 0.0000 8.9346
Ca In Pd
2 8 8
Direct
0.0000 0.0000 0.0000
0.5000 0.5000 0.5000
0.4081 0.3447 0.8816
0.9081 0.6185 0.8447
0.4081 0.6553 0.1184
0.0919 0.1553 0.6185
0.5919 0.8816 0.6553
0.0919 0.8447 0.3816
0.9081 0.3816 0.1553
0.5919 0.1184 0.3447
0.5899 0.8124 0.3555
0.5899 0.1876 0.6445
0.0899 0.8555 0.6876
0.9101 0.3124 0.8555
0.9101 0.6876 0.1445
0.4101 0.3555 0.1876
0.4101 0.6445 0.8124
0.0899 0.1445 0.3124
```

Entry 2:
CaIn6Pd6: optimized geometry, PBE.

Values from the calculation:
**Density of states at the Fermi level**: 6.46 states/eV/cell

```
CaIn6Pd6
1.0
5.2427 0.0000 2.0955
2.5024 6.7228 1.3454
0.1241 0.1596 7.2957
Ca In Pd
1 6 6
Direct
0.0000 0.0000 0.0000
0.3405 0.6595 0.6595
0.6595 0.3405 0.3405
0.0000 0.3364 0.6636
0.0000 0.6636 0.3364
0.3241 0.1759 0.1759
0.6759 0.8241 0.8241
0.0000 0.5000 0.0000
0.5000 0.5000 0.0000
0.0000 0.0000 0.5000
0.5000 0.0000 0.5000
0.5000 0.7602 0.2398
0.5000 0.2398 0.7602
```

Entry 3:
Ca6InPd5: optimized geometry, PBE.

Values from the calculation:
**Density of states at the Fermi level**: 6.27 states/eV/cell

```
Ca6InPd5
1.0
-2.8293 -0.9391 -4.0063
5.6773 1.7193 -4.4123
0.8198 -7.5554 4.3043
Ca Pd In
6 5 1
Direct
0.1719 0.4327 0.3439
0.1719 0.9112 0.3439
0.5000 0.2709 0.0000
0.5000 0.7291 0.0000
0.8281 0.0888 0.6561
0.8281 0.5673 0.6561
0.3458 0.8458 0.6916
0.6705 0.6705 0.3410
0.0000 0.5000 0.0000
0.3295 0.3295 0.6590
0.6542 0.1542 0.3084
0.0000 0.0000 0.0000
```

Entry 4:
Ca3In7Pd4: optimized geometry, PBE.

Values from the calculation:
**Density of states at the Fermi level**: 7.03 states/eV/cell

```
Ca3In7Pd4
1.0
4.4137 0.0000 1.1135
1.5778 7.9559 3.0505
0.0132 0.1814 9.2522
Ca In Pd
3 7 4
Direct
0.3067 0.1855 0.2010
0.6933 0.8145 0.7990
0.0000 0.5000 0.5000
0.3157 0.8396 0.5291
0.4970 0.2204 0.7855
0.8395 0.3936 0.9274
0.6843 0.1604 0.4709
0.1605 0.6064 0.0726
0.0000 0.0000 0.0000
0.5030 0.7796 0.2145
0.6642 0.4502 0.2214
0.3358 0.5498 0.7786
0.8826 0.9004 0.3344
0.1174 0.0996 0.6656
```

Entry 5:
Ca11In9Pd4: optimized geometry, PBE.

Values from the calculation:
**Density of states at the Fermi level**: 17.16 states/eV/cell

```
Ca11In9Pd4
1.0
-7.8362 1.4359 -10.6624
-2.1236 -11.3920 6.5474
-2.6564 1.7529 2.1883
Ca In Pd
11 9 4
Direct
0.9272 0.5853 0.0000
0.0728 0.4147 0.0000
0.5853 0.9272 0.0000
0.4147 0.0728 0.0000
0.3700 0.6300 0.0000
0.6300 0.3700 0.0000
0.1628 0.8372 0.0000
0.8372 0.1628 0.0000
0.0000 0.0000 0.0000
0.6962 0.6962 0.0000
0.3038 0.3038 0.0000
0.1602 0.6304 0.5000
0.8398 0.3696 0.5000
0.6304 0.1602 0.5000
0.3696 0.8398 0.5000
0.9252 0.7810 0.5000
0.0748 0.2190 0.5000
0.7810 0.9252 0.5000
0.2190 0.0748 0.5000
0.5000 0.5000 0.5000
0.7480 0.5497 0.5000
0.2520 0.4503 0.5000
0.5497 0.7480 0.5000
0.4503 0.2520 0.5000
```

Entry 6:
CaInPd3: optimized geometry, PBE.

Values from the calculation:
**Density of states at the Fermi level**: 2.64 states/eV/cell

```
CaInPd3
1.0
-4.5677 -1.9830 -0.2997
0.8135 -1.1505 -4.7855
1.8331 -4.4306 1.3768
Ca Pd In
1 3 1
Direct
0.5000 0.5000 0.5000
0.0000 0.5000 0.0000
0.0000 0.0000 0.5000
0.5000 0.0000 0.0000
0.0000 0.0000 0.0000
```

Entry 7:
CaIn2Pd3: optimized geometry, PBE.

Values from the calculation:
**Density of states at the Fermi level**: 5.84 states/eV/cell

```
CaIn2Pd3
1.0
4.6547 0.0000 0.0000
-2.3274 4.0311 0.0000
0.0000 0.0000 12.6288
Ca In Pd
2 4 6
Direct
0.0000 0.0000 0.2500
0.0000 0.0000 0.7500
0.6667 0.3333 0.4128
0.3333 0.6667 0.5872
0.3333 0.6667 0.9128
0.6667 0.3333 0.0872
0.0000 0.0000 0.5000
0.0000 0.0000 0.0000
0.6667 0.3333 0.6322
0.3333 0.6667 0.1322
0.6667 0.3333 0.8678
0.3333 0.6667 0.3678
```

Entry 8:
Ca3InPd: optimized geometry, PBE.

Values from the calculation:
**Density of states at the Fermi level**: 4.02 states/eV/cell

```
Ca3InPd
1.0
5.5229 0.0000 0.0000
0.0000 5.5229 0.0000
0.0000 0.0000 5.5229
Ca Pd In
3 1 1
Direct
0.0000 0.5000 0.0000
0.0000 0.0000 0.5000
0.5000 0.0000 0.0000
0.0000 0.0000 0.0000
0.5000 0.5000 0.5000
```

Entry 9:
CaIn4Pd2: optimized geometry, PBE.

Values from the calculation:
**Density of states at the Fermi level**: 11.38 states/eV/cell

```
CaIn4Pd2
1.0
-0.0715 -4.4788 0.7976
5.2527 0.8418 5.1978
-13.0493 2.4849 12.7847
Ca Pd In
4 8 16
Direct
0.7500 0.9577 0.6429
0.2500 0.0423 0.3571
0.2500 0.4577 0.8571
0.7500 0.5423 0.1429
0.2500 0.7473 0.5405
0.7500 0.2527 0.4595
0.7500 0.2473 0.9595
0.2500 0.7527 0.0405
0.2500 0.9517 0.7811
0.7500 0.0483 0.2189
0.7500 0.4517 0.7189
0.2500 0.5483 0.2811
0.2500 0.2507 0.6902
0.7500 0.7493 0.3098
0.7500 0.7507 0.8098
0.2500 0.2493 0.1902
0.2500 0.6604 0.6868
0.7500 0.3396 0.3132
0.7500 0.1604 0.8132
0.2500 0.8396 0.1868
0.2500 0.1380 0.5343
0.7500 0.8620 0.4657
0.7500 0.6380 0.9657
0.2500 0.3620 0.0343
0.2500 0.4925 0.4302
0.7500 0.5075 0.5698
0.7500 0.9925 0.0698
0.2500 0.0075 0.9302
```

Entry 10:
Ca3InPd8: optimized geometry, PBE.

Values from the calculation:
**Density of states at the Fermi level**: 3.48 states/eV/cell

```
Ca3InPd8
1.0
-3.4659 -3.9820 -1.2878
1.0668 -5.1167 1.4860
-5.1451 -1.7208 7.7039
Ca In Pd
3 1 8
Direct
0.3756 0.3756 0.8731
0.9961 0.9961 0.0117
0.5031 0.5031 0.4908
0.8741 0.8741 0.3777
0.9367 0.4372 0.1889
0.4400 0.9373 0.6854
0.4372 0.4372 0.1889
0.9373 0.9373 0.6854
0.1879 0.1879 0.4364
0.6875 0.6875 0.9374
0.4372 0.9367 0.1889
0.9373 0.4400 0.6854
```

Entry 11:
Ca4InPd: optimized geometry, PBE.

Values from the calculation:
**Density of states at the Fermi level**: 8.03 states/eV/cell

```
Ca4InPd
1.0
-1.5383 1.9867 -5.5237
-5.4121 -7.0243 2.0646
-1.1487 6.9258 4.6023
Ca In Pd
8 2 2
Direct
0.0682 0.2196 0.8540
0.7756 0.7120 0.6557
0.2858 0.6344 0.8540
0.3801 0.9436 0.6557
0.6199 0.0564 0.3443
0.7142 0.3656 0.1460
0.2244 0.2880 0.3443
0.9318 0.7804 0.1460
0.3806 0.6306 0.2612
0.6194 0.3694 0.7388
0.2492 0.9992 0.9983
0.7508 0.0008 0.0017
```

Entry 12:
Ca2In9Pd3: optimized geometry, PBE.

Values from the calculation:
**Density of states at the Fermi level**: 5.82 states/eV/cell

```
Ca2In9Pd3
1.0
1.6203 8.1766 -0.3934
-6.0332 -3.3068 -4.7226
-5.9900 -2.5615 9.5075
Ca In Pd
4 18 6
Direct
0.3334 0.2483 0.7495
0.6666 0.7517 0.2505
0.9988 0.5839 0.7505
0.0012 0.4161 0.2495
0.4485 0.9181 0.7490
0.5515 0.0819 0.2510
0.6692 0.6995 0.7510
0.3308 0.3005 0.2490
0.4381 0.6309 0.9224
0.5619 0.3691 0.0776
0.2085 0.5158 0.5776
0.7915 0.4842 0.4224
0.8851 0.1351 0.7500
0.1149 0.8649 0.2500
0.1322 0.9786 0.9348
0.8678 0.0214 0.0652
0.5438 0.1974 0.5652
0.4562 0.8026 0.4348
0.8961 0.8598 0.5788
0.1039 0.1402 0.4212
0.7810 0.3173 0.9212
0.2190 0.6827 0.0788
0.5000 0.0000 0.0000
0.5000 0.5000 0.5000
0.8321 0.1666 0.5000
0.1679 0.8334 0.5000
0.1666 0.3320 0.0000
0.8334 0.6680 0.0000
```

Entry 13:
CaIn2Pd9: optimized geometry, PBE.

Values from the calculation:
**Density of states at the Fermi level**: 14.71 states/eV/cell

```
CaIn2Pd9
1.0
-2.5380 2.3672 -2.1276
-1.4719 -3.2857 -1.8999
-8.4477 -1.2431 8.6943
Ca In Pd
1 2 9
Direct
0.0000 0.0000 0.0000
0.0000 0.0000 0.3374
0.0000 0.0000 0.6626
0.5000 0.5000 0.0000
0.5000 0.5000 0.3354
0.5000 0.5000 0.6646
0.5000 0.0000 0.1750
0.5000 0.0000 0.5000
0.5000 0.0000 0.8250
0.0000 0.5000 0.1750
0.0000 0.5000 0.5000
0.0000 0.5000 0.8250
```

Entry 14:
Ca2In2Pd3: optimized geometry, PBE.

Values from the calculation:
**Density of states at the Fermi level**: 3.09 states/eV/cell

```
Ca2In2Pd3
1.0
-1.8363 4.3610 -0.2221
-2.3706 -3.6665 -1.8392
-1.6449 -2.8461 7.7974
Ca In Pd
2 2 3
Direct
0.2452 0.1224 0.3677
0.7548 0.8776 0.6323
0.7607 0.3800 0.1403
0.2393 0.6200 0.8597
0.0000 0.0000 0.0000
0.5270 0.2640 0.7914
0.4730 0.7360 0.2086
```

Entry 15:
Ca4In3Pd: optimized geometry, PBE.

Values from the calculation:
**Density of states at the Fermi level**: 4.23 states/eV/cell

```
Ca4In3Pd
1.0
3.7817 0.0000 0.0000
0.0000 3.7817 0.0000
0.0000 0.0000 15.0385
Ca Pd In
4 1 3
Direct
0.0000 0.0000 0.8907
0.0000 0.0000 0.1093
0.0000 0.0000 0.3697
0.0000 0.0000 0.6303
0.5000 0.5000 0.0000
0.5000 0.5000 0.2385
0.5000 0.5000 0.5000
0.5000 0.5000 0.7615
```

Entry 16:
CaIn7Pd5: optimized geometry, PBE.

Values from the calculation:
**Density of states at the Fermi level**: 7.00 states/eV/cell

```
CaIn7Pd5
1.0
-0.7985 -3.8707 -4.2111
0.1985 -6.9637 2.4029
-7.1051 -1.5605 -1.1785
Ca In Pd
1 7 5
Direct
0.9910 0.0090 0.0090
0.6417 0.3583 0.3583
0.3274 0.6726 0.6726
0.9878 0.3505 0.6740
0.9878 0.6740 0.3505
0.2676 0.2324 0.2324
0.5177 0.7900 0.1747
0.5177 0.1747 0.7900
0.5037 0.0066 0.4813
0.0084 0.0066 0.4813
0.5037 0.4813 0.0066
0.0084 0.4813 0.0066
0.7372 0.7628 0.7628
```

Entry 17:
CaInPd: optimized geometry, PBE.

Values from the calculation:
**Density of states at the Fermi level**: 3.11 states/eV/cell

```
CaInPd
1.0
-1.6235 0.5244 3.4412
-3.4473 -5.1963 -0.8346
3.4996 -3.0019 4.2414
Ca In Pd
2 2 2
Direct
0.8779 0.9545 0.2966
0.5359 0.4546 0.9761
0.6032 0.9544 0.8447
0.8106 0.4544 0.4279
0.2068 0.2046 0.6365
0.2071 0.7047 0.6359
```

Entry 18:
Ca2In2Pd15: optimized geometry, PBE.

Values from the calculation:
**Density of states at the Fermi level**: 18.37 states/eV/cell

```
Ca2In2Pd15
1.0
-1.2279 3.2866 6.1169
0.4221 -5.5946 4.2718
6.6864 0.8083 2.0890
Ca In Pd
2 2 15
Direct
0.3535 0.3535 0.3535
0.6465 0.6465 0.6465
0.1042 0.1042 0.1042
0.8958 0.8958 0.8958
0.5000 0.0000 0.0000
0.0000 0.0000 0.5000
0.0000 0.5000 0.0000
0.0000 0.6966 0.3034
0.6966 0.3034 0.0000
0.3034 0.0000 0.6966
0.3034 0.6966 0.0000
0.6966 0.0000 0.3034
0.0000 0.3034 0.6966
0.1558 0.6525 0.6525
0.6525 0.6525 0.1558
0.6525 0.1558 0.6525
0.8442 0.3475 0.3475
0.3475 0.3475 0.8442
0.3475 0.8442 0.3475
```

Entry 19:
CaInPd6: optimized geometry, PBE.

Values from the calculation:
**Density of states at the Fermi level**: 8.90 states/eV/cell

```
CaInPd6
1.0
4.6518 0.0000 0.0000
0.0000 5.1268 -2.7430
0.0000 -0.1896 5.8113
Ca In Pd
1 1 6
Direct
0.0000 0.0832 0.9168
0.5000 0.4167 0.5833
0.0000 0.0815 0.4159
0.0000 0.5841 0.9185
0.0000 0.5842 0.4158
0.5000 0.4279 0.0889
0.5000 0.9111 0.5721
0.5000 0.9108 0.0892
```

The records above yield DFT total energy values of -0.15249, -0.15969, -0.14702, -0.14137, -0.12363, -0.15093, -0.16485, -0.11478, -0.14111, -0.17679, -0.11368, -0.13203, -0.18243, -0.15311, -0.11683, -0.15059, -0.14359, -0.18113, -0.18149 Ha/atom, respectively.